Record 1
DFT (GGA-PBE) results for a geometry-optimized MnCr2Au structure.

Computed properties:
The value obtained for the relative energy among the computed polymorphs is 46 meV per atom. The density of states at the Fermi level is 0.589 states/eV/atom. As for the crystal system: tetragonal.

a b c (Å): 4.6469 4.6469 4.6469
angles (deg): 128.58 128.58 75.68
Closest atoms and distances in Å follow each position.
Element x y z (fractional)
Au (0.7500, 0.2500, 0.5000)  4 Mn 2.73, 8 Cr 2.73-2.85
Cr (0.0000, 0.0000, 0.0000)  4 Cr 2.73, 4 Au 2.73, 4 Mn 2.85
Cr (0.2500, 0.7500, 0.5000)  4 Mn 2.73, 4 Cr 2.73, 4 Au 2.85
Mn (0.5000, 0.5000, 0.0000)  8 Cr 2.73-2.85, 4 Au 2.73

=====

Record 2
DFT (GGA-PBE) results for a geometry-optimized Mn2CrAu structure.

Computed properties:
The total energy is -30.60 eV per formula unit. The density of states at the Fermi level is 0.752 states/eV/atom. As for the crystal system: orthorhombic.

a b c (Å): 4.5061 4.5061 2.9991
angles (deg): 90.00 90.00 104.33
Closest atoms and distances in Å follow each position.
Element x y z (fractional)
Au (0.5000, 0.0000, 0.5000)  8 Mn 2.71, 2 Cr 2.76, 2 Au 3.00
Cr (0.0000, 0.5000, 0.5000)  8 Mn 2.71, 2 Au 2.76, 2 Cr 3.00
Mn (0.0000, 0.0000, 0.0000)  4 Cr 2.71, 4 Au 2.71, 4 Mn 2.76-3.00
Mn (0.5000, 0.5000, 0.0000)  4 Au 2.71, 4 Cr 2.71, 4 Mn 2.76-3.00

=====

Record 3
DFT (GGA-PBE) results for a geometry-optimized MnCr2Au structure.

Computed properties:
The value obtained for the relative energy among the computed polymorphs is 561 meV per atom. The density of states at the Fermi level is 0.954 states/eV/atom. As for the crystal system: tetragonal.

a b c (Å): 3.6341 3.6341 9.3867
angles (deg): 78.84 78.84 90.00
Closest atoms and distances in Å follow each position.
Element x y z (fractional)
Cr (0.5661, 0.1250, 0.2500)  2 Cr 2.29, 2 Mn 2.53
Cr (0.1839, 0.6250, 0.2500)  2 Cr 2.29, 2 Mn 2.53
Cr (0.3750, 0.4339, 0.7500)  2 Cr 2.29, 2 Mn 2.53
Cr (0.8750, 0.8161, 0.7500)  2 Cr 2.29, 2 Mn 2.53
Mn (0.5000, 0.5000, 0.0000)  4 Cr 2.53, 4 Au 2.57
Mn (0.2500, 0.7500, 0.5000)  4 Cr 2.53, 4 Au 2.57
Au (0.0000, 0.0000, 0.0000)  4 Mn 2.57, 4 Cr 2.68
Au (0.7500, 0.2500, 0.5000)  4 Mn 2.57, 4 Cr 2.68

=====

Record 4
DFT (GGA-PBE) results for a geometry-optimized Mn3CrAu structure.

Computed properties:
The value obtained for the relative energy among the computed polymorphs is 0 meV per atom. The density of states at the Fermi level is 0.966 states/eV/atom. As for the crystal system: cubic.

a b c (Å): 4.3427 4.3427 4.3427
angles (deg): 90.00 90.00 90.00
Closest atoms and distances in Å follow each position.
Element x y z (fractional)
Cr (0.0000, 0.0000, 0.0000)  6 Mn 2.17
Mn (0.0000, 0.5000, 0.0000)  2 Cr 2.17
Mn (0.0000, 0.0000, 0.5000)  2 Cr 2.17
Mn (0.5000, 0.0000, 0.0000)  2 Cr 2.17
Au (0.5000, 0.5000, 0.5000)  12 Mn 3.07